(1)
## DyTm5Hg2 (PBE)

Data for an optimized crystal structure of DyTm5Hg2.

Lattice parameters (Å, degrees): 3.677 10.016 12.245 90.00 90.00 90.00
Space group Immm (No. 71)
Unique sites:
Dy (0.000, 0.000, 0.000) x2
Tm (0.000, 0.227, 0.364) x8
Tm (0.000, 0.500, 0.000) x2
Hg (0.000, 0.500, 0.261) x4

* DFT total energy: -0.1325 hartree per atom
* ΔH_f (0 K): -160 meV/atom
* calculated density: 10.37 g cm⁻³

---

(2)
## TmAsRh2 (PBE)

Data for an optimized crystal structure of TmAsRh2.

Lattice parameters (Å, degrees): 4.192 4.192 3.809 90.00 90.00 90.00
Space group P4/mmm (No. 123)
Unique sites:
Tm (0.000, 0.000, 0.000) x1
As (0.500, 0.500, 0.000) x1
Rh (0.000, 0.500, 0.500) x2

* DFT total energy: -0.2458 hartree per atom
* ΔH_f (0 K): -731 meV/atom
* calculated density: 11.15 g cm⁻³

---

(3)
## Sc3Mn2Ge4 (PBE)

Data for an optimized crystal structure of Sc3Mn2Ge4.

Lattice parameters (Å, degrees): 9.954 3.953 8.189 90.00 96.91 90.00
Space group C2/m (No. 12)
Unique sites:
Sc (0.000, 0.000, 0.000) x2
Sc (0.133, 0.500, 0.398) x4
Mn (0.186, 0.500, 0.779) x4
Ge (0.081, 0.000, 0.641) x4
Ge (0.187, 0.500, 0.085) x4

* DFT total energy: -0.2451 hartree per atom
* ΔH_f (0 K): -468 meV/atom
* calculated density: 5.56 g cm⁻³